1.
This record from Alexandria via LeMat-Bulk describes a geometry-optimized SrPRu2 structure. The functional is GGA-PBE.

SG ... I4_1/amd (141)
Total DFT energy (no corrections) ... -6.43 eV/atom
DOS(E_F) ... 11.08 states/eV/cell
Energy relative to the elements ... -0.023 eV/atom

Structure (POSCAR):
```
SrPRu2
1.0
4.854 0.000 0.000
0.000 4.854 0.000
2.427 2.427 7.981
Ru P Sr
4 2 2
direct
0.375 0.125 0.250
0.375 0.625 0.250
0.375 0.625 0.750
0.875 0.625 0.750
0.500 0.500 0.000
0.250 0.750 0.500
0.000 0.000 0.000
0.750 0.250 0.500
```

=====

2.
This record from Alexandria via LeMat-Bulk describes a geometry-optimized CsCuSb2 structure. The functional is GGA-PBE.

SG ... Fm-3m (225)
Total DFT energy (no corrections) ... -2.73 eV/atom
DOS(E_F) ... 2.63 states/eV/cell
Raw formation energy ... 0.5713 eV per atom
Energy relative to the lowest polymorph listed for this composition ... 638.1 meV per atom

Structure (POSCAR):
```
CsCuSb2
1.0
0.000 3.886 3.886
3.886 0.000 3.886
3.886 3.886 0.000
Cs Sb Cu
1 2 1
direct
0.500 0.500 0.500
0.250 0.250 0.250
0.750 0.750 0.750
0.000 0.000 0.000
```

=====

3.
This record from Alexandria via LeMat-Bulk describes a geometry-optimized YMn2Fe structure. The functional is GGA-PBE.

SG ... C2/m (12)
Total DFT energy (no corrections) ... -7.77 eV/atom
DOS(E_F) ... 4.96 states/eV/cell
Energy relative to the lowest polymorph listed for this composition ... 377.0 meV per atom
Energy relative to the elements ... 0.547 eV/atom

Structure (POSCAR):
```
YMn2Fe
1.0
4.812 -0.068 -0.214
-2.260 4.976 0.079
0.293 0.885 2.795
Fe Mn Y
1 2 1
direct
0.500 0.500 0.000
0.000 0.000 0.000
0.500 0.000 0.500
0.000 0.500 0.500
```

=====

4.
This record from Alexandria via LeMat-Bulk describes a geometry-optimized Rb3Ga2Sb4 structure. The functional is GGA-PBE.

SG ... C2/c (15)
Total DFT energy (no corrections) ... -3.12 eV/atom
DOS(E_F) ... 6.14 states/eV/cell
Raw formation energy ... -0.2907 eV per atom
Energy relative to the lowest polymorph listed for this composition ... 27.7 meV per atom

Structure (POSCAR):
```
Rb3Ga2Sb4
1.0
8.139 0.560 0.401
1.318 9.460 -0.777
1.318 2.312 9.206
Rb Ga Sb
6 4 8
direct
0.921 0.999 0.254
0.579 0.746 0.001
0.079 0.001 0.746
0.421 0.254 0.999
0.250 0.594 0.406
0.750 0.406 0.594
0.510 0.183 0.412
0.990 0.588 0.817
0.490 0.817 0.588
0.010 0.412 0.183
0.410 0.960 0.321
0.090 0.679 0.040
0.590 0.040 0.679
0.910 0.321 0.960
0.165 0.221 0.393
0.335 0.607 0.779
0.835 0.779 0.607
0.665 0.393 0.221
```

=====

no.,magnetic moment (Bohr magnetons per cell)
1,0.00
2,0.00
3,8.46
4,0.00